# 1
## LiCr2Pb (meta-GGA SCAN)

Data for a crystal of LiCr2Pb relaxed with PBEsol.

Properties
Crystal system: orthorhombic
ρ, g/cm³: 8.5
Formation energy from the elements, meV/atom: 703.4
Size of the total moment, μB/cell: 2.1
V, Å³ per cell: 62

Cell and atoms, written as CIF:
```
data_LiCr2Pb
_chemical_formula_sum 'Li1 Cr2 Pb1'
_cell_length_a 2.9985
_cell_length_b 4.0782
_cell_length_c 5.0960
_cell_angle_alpha 90.00
_cell_angle_beta 90.00
_cell_angle_gamma 90.00
_space_group_name_H-M_alt 'P m m m'
_space_group_IT_number 47
_space_group_name_Hall '-P 2 2'
loop_
_atom_site_label
_atom_site_type_symbol
_atom_site_fract_x
_atom_site_fract_y
_atom_site_fract_z
Li1 Li 0.0000 0.0000 0.0000
Cr1 Cr 0.5000 0.5000 0.1820
Pb1 Pb 0.0000 0.0000 0.5000
```

***

# 2
## Be4RuRh (meta-GGA SCAN)

Data for a crystal of Be4RuRh relaxed with PBEsol.

Properties
Crystal system: cubic
ρ, g/cm³: 7.1
Formation energy from the elements, meV/atom: -462.4
Size of the total moment, μB/cell: 0.2
V, Å³ per cell: 225

Cell and atoms, written as CIF:
```
data_Be4RuRh
_chemical_formula_sum 'Be16 Ru4 Rh4'
_cell_length_a 6.0826
_cell_length_b 6.0826
_cell_length_c 6.0826
_cell_angle_alpha 90.00
_cell_angle_beta 90.00
_cell_angle_gamma 90.00
_space_group_name_H-M_alt 'F -4 3 m'
_space_group_IT_number 216
_space_group_name_Hall 'F -4 2 3'
loop_
_atom_site_label
_atom_site_type_symbol
_atom_site_fract_x
_atom_site_fract_y
_atom_site_fract_z
Be1 Be 0.1245 0.1245 0.1245
Ru1 Ru 0.2500 0.2500 0.7500
Rh1 Rh 0.0000 0.0000 0.5000
```

***

# 3
## KZrRu (meta-GGA SCAN)

Data for a crystal of KZrRu relaxed with PBEsol.

Properties
Crystal system: tetragonal
ρ, g/cm³: 5.0
Formation energy from the elements, meV/atom: 240.9
Size of the total moment, μB/cell: 0.0
V, Å³ per cell: 155

Cell and atoms, written as CIF:
```
data_KZrRu
_chemical_formula_sum 'K2 Zr2 Ru2'
_cell_length_a 3.2850
_cell_length_b 3.2850
_cell_length_c 14.3661
_cell_angle_alpha 90.00
_cell_angle_beta 90.00
_cell_angle_gamma 90.00
_space_group_name_H-M_alt 'I 4 m m'
_space_group_IT_number 107
_space_group_name_Hall 'I 4 -2'
loop_
_atom_site_label
_atom_site_type_symbol
_atom_site_fract_x
_atom_site_fract_y
_atom_site_fract_z
K1 K 0.0000 0.0000 0.0000
Zr1 Zr 0.0000 0.0000 0.7438
Ru1 Ru 0.0000 0.0000 0.3263
```

***

# 4
## Y2MnNbW (meta-GGA SCAN)

Data for a crystal of Y2MnNbW relaxed with PBEsol.

Properties
Crystal system: tetragonal
ρ, g/cm³: 7.6
Formation energy from the elements, meV/atom: 944.6
Size of the total moment, μB/cell: 2.9
V, Å³ per cell: 111

Cell and atoms, written as CIF:
```
data_Y2MnNbW
_chemical_formula_sum 'Y2 Mn1 Nb1 W1'
_cell_length_a 5.0174
_cell_length_b 5.0174
_cell_length_c 4.4158
_cell_angle_alpha 90.00
_cell_angle_beta 90.00
_cell_angle_gamma 90.00
_space_group_name_H-M_alt 'P 4/m m m'
_space_group_IT_number 123
_space_group_name_Hall '-P 4 2'
loop_
_atom_site_label
_atom_site_type_symbol
_atom_site_fract_x
_atom_site_fract_y
_atom_site_fract_z
Y1 Y 0.0000 0.5000 0.0000
Mn1 Mn 0.0000 0.0000 0.0000
Nb1 Nb 0.5000 0.5000 0.5000
W1 W 0.0000 0.0000 0.5000
```

***

# 5
## K2MgHg (meta-GGA SCAN)

Data for a crystal of K2MgHg relaxed with PBEsol.

Properties
Crystal system: orthorhombic
Energy above the most stable polymorph in this dataset, eV per atom: 0.020
ρ, g/cm³: 3.3
Formation energy from the elements, meV/atom: -111.2
Size of the total moment, μB/cell: 0.0
V, Å³ per cell: 304

Cell and atoms, written as CIF:
```
data_K2MgHg
_chemical_formula_sum 'K4 Mg2 Hg2'
_cell_length_a 4.2707
_cell_length_b 6.0791
_cell_length_c 11.7141
_cell_angle_alpha 90.00
_cell_angle_beta 90.00
_cell_angle_gamma 90.00
_space_group_name_H-M_alt 'I m m 2'
_space_group_IT_number 44
_space_group_name_Hall 'I 2 -2'
loop_
_atom_site_label
_atom_site_type_symbol
_atom_site_fract_x
_atom_site_fract_y
_atom_site_fract_z
K1 K 0.0000 0.0000 0.0000
K2 K 0.0000 0.5000 0.1972
Mg1 Mg 0.0000 0.5000 0.7919
Hg1 Hg 0.0000 0.0000 0.4466
```

***

# 6
## LaSbP3 (meta-GGA SCAN)

Data for a crystal of LaSbP3 relaxed with PBEsol.

Properties
Crystal system: cubic
ρ, g/cm³: 4.8
Size of the total moment, μB/cell: 0.0
V, Å³ per cell: 122
ΔE_f (raw), eV per formula unit: 0.5

Cell and atoms, written as CIF:
```
data_LaSbP3
_chemical_formula_sum 'La1 Sb1 P3'
_cell_length_a 4.9628
_cell_length_b 4.9628
_cell_length_c 4.9628
_cell_angle_alpha 90.00
_cell_angle_beta 90.00
_cell_angle_gamma 90.00
_space_group_name_H-M_alt 'P m -3 m'
_space_group_IT_number 221
_space_group_name_Hall '-P 4 2 3'
loop_
_atom_site_label
_atom_site_type_symbol
_atom_site_fract_x
_atom_site_fract_y
_atom_site_fract_z
La1 La 0.0000 0.0000 0.0000
Sb1 Sb 0.5000 0.5000 0.5000
P1 P 0.0000 0.5000 0.5000
```

***

# 7
## Li3Mn2CoO6 (meta-GGA SCAN)

Data for a crystal of Li3Mn2CoO6 relaxed with PBEsol.

Properties
Crystal system: monoclinic
Energy above the most stable polymorph in this dataset, eV per atom: 0.027
ρ, g/cm³: 4.8
Size of the total moment, μB/cell: 16.0
V, Å³ per cell: 199
ΔE_f (raw), eV per formula unit: -24.9

Cell and atoms, written as CIF:
```
data_Li3Mn2CoO6
_chemical_formula_sum 'Li6 Mn4 Co2 O12'
_cell_length_a 12.5139
_cell_length_b 2.8160
_cell_length_c 5.8439
_cell_angle_alpha 90.00
_cell_angle_beta 105.44
_cell_angle_gamma 90.00
_space_group_name_H-M_alt 'C 1 2/m 1'
_space_group_IT_number 12
_space_group_name_Hall '-C 2y'
loop_
_atom_site_label
_atom_site_type_symbol
_atom_site_fract_x
_atom_site_fract_y
_atom_site_fract_z
Li1 Li 0.0000 0.0000 0.0000
Li2 Li 0.1614 0.5000 0.3336
Mn1 Mn 0.1635 0.5000 0.8260
Co1 Co 0.0000 0.0000 0.5000
O1 O 0.0080 0.5000 0.7577
O2 O 0.1711 0.0000 0.6066
O3 O 0.1740 0.0000 0.0626
```

***

# 8
## ZnCrCo (meta-GGA SCAN)

Data for a crystal of ZnCrCo relaxed with PBEsol.

Properties
Crystal system: orthorhombic
Energy above the most stable polymorph in this dataset, eV per atom: 0.000
ρ, g/cm³: 8.5
Formation energy from the elements, meV/atom: 137.8
Size of the total moment, μB/cell: 8.6
V, Å³ per cell: 138

Cell and atoms, written as CIF:
```
data_ZnCrCo
_chemical_formula_sum 'Zn4 Cr4 Co4'
_cell_length_a 2.8525
_cell_length_b 3.9536
_cell_length_c 12.1962
_cell_angle_alpha 90.00
_cell_angle_beta 90.00
_cell_angle_gamma 90.00
_space_group_name_H-M_alt 'F m m 2'
_space_group_IT_number 42
_space_group_name_Hall 'F 2 -2'
loop_
_atom_site_label
_atom_site_type_symbol
_atom_site_fract_x
_atom_site_fract_y
_atom_site_fract_z
Zn1 Zn 0.0000 0.0000 0.0000
Cr1 Cr 0.0000 0.0000 0.6773
Co1 Co 0.0000 0.0000 0.3308
```

***

# 9
## Li3ClF (meta-GGA SCAN)

Data for a crystal of Li3ClF relaxed with PBEsol.

Properties
Crystal system: cubic
ρ, g/cm³: 1.7
Size of the total moment, μB/cell: 0.4
V, Å³ per cell: 73
ΔE_f (raw), eV per formula unit: -8.0

Cell and atoms, written as CIF:
```
data_Li3ClF
_chemical_formula_sum 'Li3 Cl1 F1'
_cell_length_a 4.1732
_cell_length_b 4.1732
_cell_length_c 4.1732
_cell_angle_alpha 90.00
_cell_angle_beta 90.00
_cell_angle_gamma 90.00
_space_group_name_H-M_alt 'P m -3 m'
_space_group_IT_number 221
_space_group_name_Hall '-P 4 2 3'
loop_
_atom_site_label
_atom_site_type_symbol
_atom_site_fract_x
_atom_site_fract_y
_atom_site_fract_z
Li1 Li 0.0000 0.0000 0.5000
Cl1 Cl 0.5000 0.5000 0.5000
F1 F 0.0000 0.0000 0.0000
```

***

# 10
## Ta2MnW (meta-GGA SCAN)

Data for a crystal of Ta2MnW relaxed with PBEsol.

Properties
Crystal system: tetragonal
ρ, g/cm³: 16.3
Formation energy from the elements, meV/atom: -148.2
Size of the total moment, μB/cell: 0.0
V, Å³ per cell: 61

Cell and atoms, written as CIF:
```
data_Ta2MnW
_chemical_formula_sum 'Ta2 Mn1 W1'
_cell_length_a 3.1247
_cell_length_b 3.1247
_cell_length_c 6.2675
_cell_angle_alpha 90.00
_cell_angle_beta 90.00
_cell_angle_gamma 90.00
_space_group_name_H-M_alt 'P 4/m m m'
_space_group_IT_number 123
_space_group_name_Hall '-P 4 2'
loop_
_atom_site_label
_atom_site_type_symbol
_atom_site_fract_x
_atom_site_fract_y
_atom_site_fract_z
Ta1 Ta 0.0000 0.0000 0.2394
Mn1 Mn 0.5000 0.5000 0.0000
W1 W 0.5000 0.5000 0.5000
```

***

# 11
## ErAlGe (meta-GGA SCAN)

Data for a crystal of ErAlGe relaxed with PBEsol.

Properties
Crystal system: orthorhombic
ρ, g/cm³: 7.7
Formation energy from the elements, meV/atom: -702.1
Size of the total moment, μB/cell: 0.0
V, Å³ per cell: 231

Cell and atoms, written as CIF:
```
data_ErAlGe
_chemical_formula_sum 'Er4 Al4 Ge4'
_cell_length_a 4.0080
_cell_length_b 10.1851
_cell_length_c 5.6669
_cell_angle_alpha 90.00
_cell_angle_beta 90.00
_cell_angle_gamma 90.00
_space_group_name_H-M_alt 'C m c m'
_space_group_IT_number 63
_space_group_name_Hall '-C 2c 2'
loop_
_atom_site_label
_atom_site_type_symbol
_atom_site_fract_x
_atom_site_fract_y
_atom_site_fract_z
Er1 Er 0.0000 0.1908 0.2500
Al1 Al 0.0000 0.5000 0.0000
Ge1 Ge 0.0000 0.1069 0.7500
```

***

# 12
## CaMoPb (meta-GGA SCAN)

Data for a crystal of CaMoPb relaxed with PBEsol.

Properties
Crystal system: hexagonal
Energy above the most stable polymorph in this dataset, eV per atom: 0.000
ρ, g/cm³: 8.5
Formation energy from the elements, meV/atom: 508.6
Size of the total moment, μB/cell: 1.4
V, Å³ per cell: 67

Cell and atoms, written as CIF:
```
data_CaMoPb
_chemical_formula_sum 'Ca1 Mo1 Pb1'
_cell_length_a 5.0159
_cell_length_b 5.0159
_cell_length_c 3.0614
_cell_angle_alpha 90.00
_cell_angle_beta 90.00
_cell_angle_gamma 120.00
_space_group_name_H-M_alt 'P -6 m 2'
_space_group_IT_number 187
_space_group_name_Hall 'P -6 2'
loop_
_atom_site_label
_atom_site_type_symbol
_atom_site_fract_x
_atom_site_fract_y
_atom_site_fract_z
Ca1 Ca 0.0000 0.0000 0.0000
Mo1 Mo 0.3333 0.6667 0.5000
Pb1 Pb 0.6667 0.3333 0.5000
```

***

Electronic total energy readings, ordered: -28.0317 -14.7978 -24.3770 -34.4071 -22.5605 -22.2038 -10.2686 -16.2636 -5.3318 -55.4256 -26.4287 -39.6013 eV per atom